1.
This record from Alexandria via LeMat-Bulk describes a relaxed structure of Pr4Mg2H. The functional is GGA-PBE.

Unit cell a=8.953 b=8.953 c=8.953 alpha=147.60 beta=147.60 gamma=46.48
Fractional coordinates of all 7 atoms:
Pr (0.000, 0.500, 0.500)
Pr (0.169, 0.169, 0.000)
Pr (0.500, 0.000, 0.500)
Pr (0.831, 0.831, 0.000)
Mg (0.367, 0.367, 0.000)
Mg (0.633, 0.633, 0.000)
H (0.000, 0.000, 0.000)

Properties
Its space group is I4/mmm, No. 139.

2.
This record from Alexandria via LeMat-Bulk describes a relaxed structure of PrMgH. The functional is GGA-PBE.

Unit cell a=3.547 b=3.547 c=5.761 alpha=90.00 beta=90.00 gamma=120.00
Fractional coordinates of all 3 atoms:
Pr (0.000, 0.000, 0.000)
Mg (0.333, 0.667, 0.485)
H (0.667, 0.333, 0.216)

Properties
Its space group is P3m1, No. 156.

3.
This record from Alexandria via LeMat-Bulk describes a relaxed structure of Pr2MgH8. The functional is GGA-PBE.

Unit cell a=6.534 b=6.534 c=6.534 alpha=145.03 beta=135.47 gamma=57.84
Fractional coordinates of all 11 atoms:
Pr (0.170, 0.170, 0.000)
Pr (0.830, 0.830, 0.000)
Mg (0.500, 0.500, 0.000)
H (0.113, 0.365, 0.748)
H (0.254, 0.000, 0.254)
H (0.298, 0.798, 0.500)
H (0.382, 0.635, 0.748)
H (0.618, 0.365, 0.252)
H (0.702, 0.202, 0.500)
H (0.746, 0.000, 0.746)
H (0.887, 0.635, 0.252)

Properties
Its space group is Immm, No. 71.

4.
This record from Alexandria via LeMat-Bulk describes a relaxed structure of PrMgH8Rh2. The functional is GGA-PBE.

Unit cell a=6.255 b=6.255 c=6.255 alpha=45.34 beta=45.34 gamma=45.34
Fractional coordinates of all 12 atoms:
Pr (0.000, 0.000, 0.000)
Mg (0.500, 0.500, 0.500)
H (0.098, 0.856, 0.399)
H (0.144, 0.601, 0.902)
H (0.304, 0.304, 0.304)
H (0.399, 0.098, 0.856)
H (0.601, 0.902, 0.144)
H (0.696, 0.696, 0.696)
H (0.856, 0.399, 0.098)
H (0.902, 0.144, 0.601)
Rh (0.201, 0.201, 0.201)
Rh (0.799, 0.799, 0.799)

Properties
Its space group is R-3, No. 148.

no.,E_tot (eV per atom)
1,-3.67
2,-3.35
3,-3.88
4,-4.26